Entry from Alexandria: Sc2HgB after structural relaxation (PBE).

Properties
Calculated volume ... 17.97 Å³ per atom
N(E_F) ... 1.020 states/eV/atom
SG ... No. 225
Energy relative to the elements ... 1.49 kcal/mol of atoms
DFT total energy ... -19.383 eV per formula unit
Crystal system ... cubic
Distance to the lowest polymorph of the same formula ... 142 meV/atom

a = 4.667 Å, b = 4.667 Å, c = 4.667 Å
α = 60.00°, β = 60.00°, γ = 60.00°
Element x y z (fractional)
Sc1 0.250 0.250 0.250
Sc2 0.750 0.750 0.750
Hg1 0.000 0.000 0.000
B1 0.500 0.500 0.500